VASP calculation (SCAN) on a crystal of CaY5 relaxed with PBEsol.

The space group is P-62m (No. 189) and the conventional cell measures 6.2691, 6.2691 and 5.6374 Å, with angles of 90.00, 90.00 and 120.00 degrees. The distinct sites, in fractional coordinates, are Ca at (0.0000, 0.0000, 0.0000), Y at (0.0000, 0.6571, 0.5000) and Y at (0.3333, 0.6667, 0.0000).

The total energy comes out at -24.76 eV/atom. The value obtained for the density is 4.2 g/cm3. Its relative energy among the computed polymorphs is 9 meV per atom.

---

VASP calculation (SCAN) on a crystal of Ca2Y relaxed with PBEsol.

The space group is Cmcm (No. 63) and the conventional cell measures 3.713, 19.672 and 5.937 Å, with angles of 90.00, 90.00 and 90.00 degrees. The distinct sites, in fractional coordinates, are Ca at (0.000, 0.060, 0.250), Ca at (0.000, 0.382, 0.250) and Y at (0.000, 0.275, 0.750).

The total energy comes out at -15.64 eV/atom. The value obtained for the density is 2.6 g/cm3. Its relative energy among the computed polymorphs is 0 meV per atom.

---

VASP calculation (SCAN) on a crystal of CaY4 relaxed with PBEsol.

The space group is I4/m (No. 87) and the conventional cell measures 8.081, 8.081 and 5.153 Å, with angles of 90.00, 90.00 and 90.00 degrees. The distinct sites, in fractional coordinates, are Ca at (0.000, 0.000, 0.000) and Y at (0.097, 0.693, 0.500).

The total energy comes out at -24.10 eV/atom. The value obtained for the density is 3.9 g/cm3.

---

VASP calculation (SCAN) on a crystal of Ca8Y relaxed with PBEsol.

The space group is I4/mmm (No. 139) and the conventional cell measures 11.428, 11.428 and 5.398 Å, with angles of 90.00, 90.00 and 90.00 degrees. The distinct sites, in fractional coordinates, are Ca at (0.000, 0.330, 0.000), Ca at (0.164, 0.164, 0.500) and Y at (0.000, 0.000, 0.000).

The total energy comes out at -11.61 eV/atom. The value obtained for the density is 1.9 g/cm3.

---

VASP calculation (SCAN) on a crystal of CaY5 relaxed with PBEsol.

The space group is Amm2 (No. 38) and the conventional cell measures 5.678, 3.581 and 18.891 Å, with angles of 90.00, 90.00 and 90.00 degrees. The distinct sites, in fractional coordinates, are Ca at (0.000, 0.000, 0.000), Y at (0.000, 0.000, 0.328), Y at (0.000, 0.000, 0.669), Y at (0.500, 0.000, 0.112), Y at (0.500, 0.000, 0.440) and Y at (0.500, 0.000, 0.776).

The total energy comes out at -24.77 eV/atom. The value obtained for the density is 4.2 g/cm3. Its relative energy among the computed polymorphs is 5 meV per atom.

---

VASP calculation (SCAN) on a crystal of Ca7Y relaxed with PBEsol.

The space group is Fm-3m (No. 225) and the conventional cell measures 10.747, 10.747 and 10.747 Å, with angles of 90.00, 90.00 and 90.00 degrees. The distinct sites, in fractional coordinates, are Ca at (0.000, 0.000, 0.000), Ca at (0.000, 0.250, 0.250) and Y at (0.000, 0.000, 0.500).

The total energy comes out at -11.85 eV/atom. The value obtained for the density is 2.0 g/cm3.

---

VASP calculation (SCAN) on a crystal of CaY5 relaxed with PBEsol.

The space group is F-43m (No. 216) and the conventional cell measures 9.297, 9.297 and 9.297 Å, with angles of 90.00, 90.00 and 90.00 degrees. The distinct sites, in fractional coordinates, are Ca at (0.000, 0.000, 0.000), Y at (0.123, 0.123, 0.623) and Y at (0.250, 0.250, 0.250).

The total energy comes out at -24.60 eV/atom. The value obtained for the density is 4.0 g/cm3. Its relative energy among the computed polymorphs is 169 meV per atom.

---

VASP calculation (SCAN) on a crystal of CaY7 relaxed with PBEsol.

The space group is Fm-3m (No. 225) and the conventional cell measures 10.003, 10.003 and 10.003 Å, with angles of 90.00, 90.00 and 90.00 degrees. The distinct sites, in fractional coordinates, are Ca at (0.000, 0.000, 0.000), Y at (0.000, 0.000, 0.500) and Y at (0.000, 0.250, 0.250).

The total energy comes out at -25.46 eV/atom. The value obtained for the density is 4.4 g/cm3.

---

What are the Fermi-level density of states values for these records? In order: 6.53, 15.67, 16.79, 20.97, 14.07, 41.81, 28.82, 45.62 states/eV/cell.